Below is crystalline SrRuAu at its relaxed geometry, with properties calculated at the PBE level.

Calculated values
Density of states at the Fermi level ... 5.8 states/eV/cell
Total energy ... -4.52 eV/atom
Relative energy among the computed polymorphs ... 0.097 eV per atom
Formation energy ... 226 meV per atom

Cell lengths 3.620, 3.620, 10.590 Å; angles 90.00, 90.00, 90.00 degrees
Space group I4mm (No. 107)
Symmetry-distinct sites (fractional):
Sr: 0.000 0.000 0.000 x2
Ru: 0.000 0.000 0.287 x2
Au: 0.000 0.000 0.708 x2